This record from Alexandria describes a relaxed structure of ThNbSn2. The functional is PBE-GGA.

Structure (CIF):
```
data_ThNbSn2
_cell_length_a 3.2545
_cell_length_b 3.2545
_cell_length_c 33.9754
_cell_angle_alpha 90.00
_cell_angle_beta 90.00
_cell_angle_gamma 120.00
_space_group_name_H-M_alt 'R -3 m'
_space_group_IT_number 166
_space_group_name_Hall '-R 3 2"'
loop_
_atom_site_label
_atom_site_type_symbol
_atom_site_fract_x
_atom_site_fract_y
_atom_site_fract_z
_atom_site_occupancy
Th1 Th 0.0000 0.0000 0.0000 1
Nb1 Nb 0.0000 0.0000 0.5000 1
Sn1 Sn 0.0000 0.0000 0.0973 1
```

The distance to the lowest polymorph of the same formula is 1.426 eV per formula unit. The value obtained for the uncorrected energy is -6.222 eV/atom.